Entry 1:
Here is a relaxed SbAs3N crystal from Alexandria. Energies are from PBE-GGA. Values from VASP.

Geometry as Quantum ESPRESSO input:
```
&SYSTEM
  ibrav = 0, nat = 5, ntyp = 3
/
ATOMIC_SPECIES
Sb 121.76 Sb.upf
As 74.92 As.upf
N 14.01 N.upf
CELL_PARAMETERS angstrom
-1.104 4.059 1.523
-0.732 -1.723 4.063
4.273 0.754 1.090
ATOMIC_POSITIONS crystal
Sb 0.500 0.500 0.500
As 0.000 0.500 0.000
As 0.000 0.000 0.500
As 0.500 0.000 0.000
N 0.000 0.000 0.000
```

Calculated values
The space group is Pm-3m. The calculated volume is 17.910 A^3/atom. The value obtained for the density of states at the Fermi level is 2.182 states/eV/cell. The calculation puts the excess energy over the best structure of this formula in the dataset at 0 meV/atom. Its uncorrected formation energy is 3.452 eV/f.u.



Entry 2:
Here is a relaxed La14NdY crystal from Alexandria. Energies are from PBE-GGA. Values from VASP.

Geometry as Quantum ESPRESSO input:
```
&SYSTEM
  ibrav = 0, nat = 16, ntyp = 3
/
ATOMIC_SPECIES
La 138.91 La.upf
Nd 144.24 Nd.upf
Y 88.91 Y.upf
CELL_PARAMETERS angstrom
6.767 2.541 0.000
0.667 7.197 0.000
0.000 0.000 12.245
ATOMIC_POSITIONS crystal
La 0.312 0.688 0.500
La 0.835 0.165 0.500
La 0.883 0.638 0.000
La 0.864 0.626 0.500
La 0.362 0.117 0.000
La 0.374 0.136 0.500
La 0.666 0.832 0.749
La 0.666 0.832 0.251
La 0.168 0.334 0.749
La 0.168 0.334 0.251
La 0.124 0.876 0.762
La 0.124 0.876 0.238
La 0.626 0.374 0.743
La 0.626 0.374 0.257
Nd 0.827 0.173 0.000
Y 0.372 0.628 0.000
```

Calculated values
The space group is Amm2. The calculated volume is 35.977 A^3/atom. The value obtained for the density of states at the Fermi level is 27.256 states/eV/cell. The energy relative to the elements comes out at 0.085 eV per atom.



Entry 3:
Here is a relaxed SnHO crystal from Alexandria. Energies are from PBE-GGA. Values from VASP.

Geometry as Quantum ESPRESSO input:
```
&SYSTEM
  ibrav = 0, nat = 6, ntyp = 3
/
ATOMIC_SPECIES
Sn 118.71 Sn.upf
H 1.01 H.upf
O 16.00 O.upf
CELL_PARAMETERS angstrom
3.375 0.000 0.000
-1.687 2.911 -0.252
0.000 0.196 8.549
ATOMIC_POSITIONS crystal
Sn 0.690 0.379 0.240
Sn 0.310 0.621 0.760
H 0.967 0.933 0.648
H 0.033 0.067 0.352
O 0.655 0.309 0.874
O 0.345 0.691 0.126
```

Calculated values
The space group is C2/m. The calculated volume is 14.026 A^3/atom. The value obtained for the density of states at the Fermi level is 0.588 states/eV/cell. The calculation puts the excess energy over the best structure of this formula in the dataset at 234 meV/atom.



Entry 4:
Here is a relaxed CoWCl3 crystal from Alexandria. Energies are from PBE-GGA. Values from VASP.

Geometry as Quantum ESPRESSO input:
```
&SYSTEM
  ibrav = 0, nat = 5, ntyp = 3
/
ATOMIC_SPECIES
Co 58.93 Co.upf
W 183.84 W.upf
Cl 35.45 Cl.upf
CELL_PARAMETERS angstrom
4.888 0.000 0.000
0.000 4.888 0.000
0.000 0.000 4.888
ATOMIC_POSITIONS crystal
Co 0.500 0.500 0.500
W 0.000 0.000 0.000
Cl 0.000 0.500 0.000
Cl 0.000 0.000 0.500
Cl 0.500 0.000 0.000
```

Calculated values
The space group is Pm-3m. The calculated volume is 23.352 A^3/atom. The value obtained for the density of states at the Fermi level is 18.332 states/eV/cell. Its uncorrected formation energy is 3.690 eV/f.u.



Entry 5:
Here is a relaxed Nd8HgBi3Te4 crystal from Alexandria. Energies are from PBE-GGA. Values from VASP.

Geometry as Quantum ESPRESSO input:
```
&SYSTEM
  ibrav = 0, nat = 16, ntyp = 4
/
ATOMIC_SPECIES
Nd 144.24 Nd.upf
Hg 200.59 Hg.upf
Bi 208.98 Bi.upf
Te 127.60 Te.upf
CELL_PARAMETERS angstrom
-0.507 -0.191 -9.065
-8.107 -4.054 0.539
1.439 7.867 4.303
ATOMIC_POSITIONS crystal
Nd 0.246 0.746 0.000
Nd 0.246 0.746 0.493
Nd 0.251 0.253 0.502
Nd 0.754 0.746 0.000
Nd 0.246 0.254 0.000
Nd 0.749 0.747 0.498
Nd 0.754 0.254 0.507
Nd 0.754 0.254 0.000
Hg 0.000 0.500 0.000
Bi 0.500 0.500 0.000
Bi 0.500 0.500 0.500
Bi 0.000 0.500 0.500
Te 0.500 0.000 0.000
Te 0.500 0.000 0.500
Te 0.000 0.000 0.000
Te 0.000 0.000 0.500
```

Calculated values
The space group is R-3m. The calculated volume is 33.092 A^3/atom. The value obtained for the density of states at the Fermi level is 7.446 states/eV/cell. Its uncorrected formation energy is -18.194 eV/f.u.



Entry 6:
Here is a relaxed CuCl3 crystal from Alexandria. Energies are from PBE-GGA. Values from VASP.

Geometry as Quantum ESPRESSO input:
```
&SYSTEM
  ibrav = 0, nat = 4, ntyp = 2
/
ATOMIC_SPECIES
Cu 63.55 Cu.upf
Cl 35.45 Cl.upf
CELL_PARAMETERS angstrom
-3.579 9.109 1.182
-6.456 7.276 1.603
-4.328 7.768 4.256
ATOMIC_POSITIONS crystal
Cu 0.000 0.000 0.000
Cl 0.714 0.714 0.714
Cl 0.500 0.500 0.500
Cl 0.286 0.286 0.286
```

Calculated values
The space group is R-3m. The calculated volume is 24.691 A^3/atom. The value obtained for the density of states at the Fermi level is 5.687 states/eV/cell. Its uncorrected formation energy is -0.282 eV/f.u.



Entry 7:
Here is a relaxed KY2Cr crystal from Alexandria. Energies are from PBE-GGA. Values from VASP.

Geometry as Quantum ESPRESSO input:
```
&SYSTEM
  ibrav = 0, nat = 4, ntyp = 3
/
ATOMIC_SPECIES
Cr 52.00 Cr.upf
K 39.10 K.upf
Y 88.91 Y.upf
CELL_PARAMETERS angstrom
-5.595 -4.192 -1.123
-3.009 -3.996 5.012
1.916 6.362 -2.448
ATOMIC_POSITIONS crystal
Cr 0.515 0.515 0.000
K 0.292 0.792 0.500
Y 0.001 0.001 0.000
Y 0.692 0.192 0.500
```

Calculated values
The space group is Imm2. The calculated volume is 31.793 A^3/atom. The value obtained for the density of states at the Fermi level is 3.584 states/eV/cell. The calculation puts the excess energy over the best structure of this formula in the dataset at 326 meV/atom. The energy relative to the elements comes out at 0.688 eV per atom.



Entry 8:
Here is a relaxed Pr3Mg2Al9 crystal from Alexandria. Energies are from PBE-GGA. Values from VASP.

Geometry as Quantum ESPRESSO input:
```
&SYSTEM
  ibrav = 0, nat = 14, ntyp = 3
/
ATOMIC_SPECIES
Pr 140.91 Pr.upf
Mg 24.30 Mg.upf
Al 26.98 Al.upf
CELL_PARAMETERS angstrom
-0.725 4.153 1.325
-8.650 0.883 -0.131
-2.920 -0.762 8.156
ATOMIC_POSITIONS crystal
Pr 0.000 0.000 0.000
Pr 0.687 0.313 0.313
Pr 0.313 0.687 0.687
Mg 0.500 0.293 0.707
Mg 0.500 0.707 0.293
Al 0.000 0.500 0.500
Al 0.664 0.965 0.707
Al 0.336 0.035 0.293
Al 0.664 0.707 0.965
Al 0.336 0.293 0.035
Al 0.857 0.869 0.417
Al 0.143 0.131 0.583
Al 0.857 0.417 0.869
Al 0.143 0.583 0.131
```

Calculated values
The space group is Immm. The calculated volume is 21.540 A^3/atom. The value obtained for the density of states at the Fermi level is 3.561 states/eV/cell. The energy relative to the elements comes out at -0.352 eV per atom.



Entry 9:
Here is a relaxed NdHfZnIn crystal from Alexandria. Energies are from PBE-GGA. Values from VASP.

Geometry as Quantum ESPRESSO input:
```
&SYSTEM
  ibrav = 0, nat = 4, ntyp = 4
/
ATOMIC_SPECIES
Nd 144.24 Nd.upf
Zn 65.41 Zn.upf
Hf 178.49 Hf.upf
In 114.82 In.upf
CELL_PARAMETERS angstrom
5.092 0.000 0.000
2.546 4.410 0.000
2.546 1.470 4.157
ATOMIC_POSITIONS crystal
Nd 0.250 0.250 0.250
Zn 0.000 0.000 0.000
Hf 0.750 0.750 0.750
In 0.500 0.500 0.500
```

Calculated values
The space group is F-43m. The calculated volume is 23.337 A^3/atom. The value obtained for the density of states at the Fermi level is 2.047 states/eV/cell. The energy relative to the elements comes out at -0.150 eV per atom.



Entry 10:
Here is a relaxed MgInO2F crystal from Alexandria. Energies are from PBE-GGA. Values from VASP.

Geometry as Quantum ESPRESSO input:
```
&SYSTEM
  ibrav = 0, nat = 5, ntyp = 4
/
ATOMIC_SPECIES
Mg 24.30 Mg.upf
F 19.00 F.upf
O 16.00 O.upf
In 114.82 In.upf
CELL_PARAMETERS angstrom
-1.609 -1.816 3.401
-0.521 -3.548 -2.142
3.781 -1.236 1.128
ATOMIC_POSITIONS crystal
Mg 0.500 0.500 0.500
F 0.000 0.000 0.500
O 0.000 0.500 0.000
O 0.500 0.000 0.000
In 0.000 0.000 0.000
```

Calculated values
The space group is P4/mmm. The calculated volume is 14.430 A^3/atom. The value obtained for the density of states at the Fermi level is 0.171 states/eV/cell. Its uncorrected formation energy is -7.483 eV/f.u.



Entry 11:
Here is a relaxed KIn2Os crystal from Alexandria. Energies are from PBE-GGA. Values from VASP.

Geometry as Quantum ESPRESSO input:
```
&SYSTEM
  ibrav = 0, nat = 4, ntyp = 3
/
ATOMIC_SPECIES
In 114.82 In.upf
K 39.10 K.upf
Os 190.23 Os.upf
CELL_PARAMETERS angstrom
-8.395 -1.577 5.935
-8.849 -3.980 3.748
-6.915 -4.475 6.351
ATOMIC_POSITIONS crystal
In 0.016 0.016 0.016
In 0.484 0.484 0.484
K 0.250 0.250 0.250
Os 0.750 0.750 0.750
```

Calculated values
The space group is R-3m. The calculated volume is 23.834 A^3/atom. The value obtained for the density of states at the Fermi level is 2.160 states/eV/cell. The calculation puts the excess energy over the best structure of this formula in the dataset at 165 meV/atom. The energy relative to the elements comes out at 0.497 eV per atom.



Entry 12:
Here is a relaxed PaFeTcGe crystal from Alexandria. Energies are from PBE-GGA. Values from VASP.

Geometry as Quantum ESPRESSO input:
```
&SYSTEM
  ibrav = 0, nat = 4, ntyp = 4
/
ATOMIC_SPECIES
Ge 72.64 Ge.upf
Pa 231.04 Pa.upf
Tc 98.00 Tc.upf
Fe 55.84 Fe.upf
CELL_PARAMETERS angstrom
-1.177 4.194 -1.263
-1.712 2.890 3.048
2.453 3.556 1.381
ATOMIC_POSITIONS crystal
Ge 0.250 0.250 0.250
Pa 0.750 0.750 0.750
Tc 0.500 0.500 0.500
Fe 0.000 0.000 0.000
```

Calculated values
The space group is F-43m. The calculated volume is 16.494 A^3/atom. The value obtained for the density of states at the Fermi level is 1.396 states/eV/cell. The energy relative to the elements comes out at -0.180 eV per atom.



Which value of calculated volume does entry 11 give?
23.834 A^3/atom